Entry from Alexandria via LeMat-Bulk: a relaxed BeCoP2 crystal (PBEsol).

Cell: 3.7801 3.7801 4.2444 Å, 96.23 96.23 48.87°
Closest atoms and distances in Å follow each position.
Sites, in units of the cell vectors:
Be 0.0000 0.0000 0.0000  2 P 2.07
Co 0.5000 0.5000 0.5000  6 P 2.20-2.33
P 0.2275 0.2275 0.7228  1 Be 2.07, 1 Co 2.20
P 0.7725 0.7725 0.2772  1 Be 2.07, 1 Co 2.20

Output
**M_tot**: 0.00 μB per formula unit
**Energy**: -23.7 eV per formula unit
**Theoretical density**: 4.76 g cm⁻³
**Calculated volume**: 45.4 Å³ per cell
**N(E_F)**: 0.406 states/eV/atom